DFT (SCAN) results for a PBEsol-optimized structure of CsAgRu2.

Properties
**Space-group type**: Fm-3m, No. 225
**Calculated total energy**: -32.88 eV/atom
**Crystal system**: cubic
**DOS(E_F)**: 0.81 states/eV per atom

Unit cell a=4.650 b=4.650 c=4.650 alpha=60.00 beta=60.00 gamma=60.00
Positions (direct):
Cs: 0.000 0.000 0.000
Ag: 0.500 0.500 0.500
Ru: 0.250 0.250 0.250
Ru: 0.750 0.750 0.750